Entry 1:
Compound: TaVI3
Source: the Alexandria database
Functional: PBE
Structure: optimized geometry

```
data_TaVI3
_chemical_formula_sum 'Ta1 V1 I3'
_cell_length_a 5.5506
_cell_length_b 5.5506
_cell_length_c 5.5506
_cell_angle_alpha 90.00
_cell_angle_beta 90.00
_cell_angle_gamma 90.00
_space_group_name_H-M_alt 'P m -3 m'
_space_group_IT_number 221
_space_group_name_Hall '-P 4 2 3'
loop_
_atom_site_label
_atom_site_fract_x
_atom_site_fract_y
_atom_site_fract_z
_atom_site_occupancy
Ta1 0.0000 0.0000 0.0000 1
V1 0.5000 0.5000 0.5000 1
I1 0.0000 0.0000 0.5000 1
```

The relative energy among the computed polymorphs is 0.0 kJ/mol of formula units. Its density is 5.9 g cm⁻³. The value obtained for the energy relative to the elements, uncorrected is 0.902 eV per atom.

Entry 2:
Compound: TeRuW
Source: the Alexandria database
Functional: PBE
Structure: optimized geometry

```
data_TeRuW
_chemical_formula_sum 'Te4 Ru4 W4'
_cell_length_a 6.2090
_cell_length_b 6.2090
_cell_length_c 6.2090
_cell_angle_alpha 90.00
_cell_angle_beta 90.00
_cell_angle_gamma 90.00
_space_group_name_H-M_alt 'F -4 3 m'
_space_group_IT_number 216
_space_group_name_Hall 'F -4 2 3'
loop_
_atom_site_label
_atom_site_fract_x
_atom_site_fract_y
_atom_site_fract_z
_atom_site_occupancy
Te1 0.0000 0.0000 0.0000 1
Ru1 0.0000 0.0000 0.5000 1
W1 0.2500 0.2500 0.2500 1
```

The relative energy among the computed polymorphs is 38.1 kJ/mol of formula units. Its density is 11.4 g cm⁻³. The value obtained for the energy relative to the elements, uncorrected is 0.546 eV per atom.

Entry 3:
Compound: Tl4Bi3N4
Source: the Alexandria database
Functional: PBE
Structure: optimized geometry

```
data_Tl4Bi3N4
_chemical_formula_sum 'Tl8 Bi6 N8'
_cell_length_a 19.0339
_cell_length_b 3.3429
_cell_length_c 9.2583
_cell_angle_alpha 90.00
_cell_angle_beta 107.58
_cell_angle_gamma 90.00
_space_group_name_H-M_alt 'C 1 2/m 1'
_space_group_IT_number 12
_space_group_name_Hall '-C 2y'
loop_
_atom_site_label
_atom_site_fract_x
_atom_site_fract_y
_atom_site_fract_z
_atom_site_occupancy
Tl1 0.0077 0.0000 0.3214 1
Tl2 0.1698 0.5000 0.0158 1
Bi1 0.0000 0.5000 0.0000 1
Bi2 0.1764 0.5000 0.6446 1
N1 0.0887 0.0000 0.5688 1
N2 0.2051 0.0000 0.8396 1
```

Its density is 8.9 g cm⁻³. The value obtained for the energy relative to the elements, uncorrected is 0.693 eV per atom.

Entry 4:
Compound: PaFe2
Source: the Alexandria database
Functional: PBE
Structure: optimized geometry

```
data_PaFe2
_chemical_formula_sum 'Pa2 Fe4'
_cell_length_a 2.9803
_cell_length_b 2.9803
_cell_length_c 10.7225
_cell_angle_alpha 90.00
_cell_angle_beta 90.00
_cell_angle_gamma 90.00
_space_group_name_H-M_alt 'I 4/m m m'
_space_group_IT_number 139
_space_group_name_Hall '-I 4 2'
loop_
_atom_site_label
_atom_site_fract_x
_atom_site_fract_y
_atom_site_fract_z
_atom_site_occupancy
Pa1 0.0000 0.0000 0.0000 1
Fe1 0.0000 0.0000 0.3077 1
```

Its density is 12.0 g cm⁻³. The calculation puts the formation enthalpy at 0 K at 0.11 eV per atom.

Entry 5:
Compound: AcNiPd2
Source: the Alexandria database
Functional: PBE
Structure: optimized geometry

```
data_AcNiPd2
_chemical_formula_sum 'Ac3 Ni3 Pd6'
_cell_length_a 4.4012
_cell_length_b 4.4012
_cell_length_c 15.0825
_cell_angle_alpha 90.00
_cell_angle_beta 90.00
_cell_angle_gamma 120.00
_space_group_name_H-M_alt 'R -3 m'
_space_group_IT_number 166
_space_group_name_Hall '-R 3 2"'
loop_
_atom_site_label
_atom_site_fract_x
_atom_site_fract_y
_atom_site_fract_z
_atom_site_occupancy
Ac1 0.0000 0.0000 0.0000 1
Ni1 0.0000 0.0000 0.5000 1
Pd1 0.0000 0.0000 0.2055 1
```

The relative energy among the computed polymorphs is 0.0 kJ/mol of formula units. Its density is 9.8 g cm⁻³. The calculation puts the formation enthalpy at 0 K at -0.51 eV per atom.

Entry 6:
Compound: BaMgCu2
Source: the Alexandria database
Functional: PBE
Structure: optimized geometry

```
data_BaMgCu2
_chemical_formula_sum 'Ba3 Mg3 Cu6'
_cell_length_a 4.4208
_cell_length_b 4.4208
_cell_length_c 18.1505
_cell_angle_alpha 90.00
_cell_angle_beta 90.00
_cell_angle_gamma 120.00
_space_group_name_H-M_alt 'R 3 m'
_space_group_IT_number 160
_space_group_name_Hall 'R 3 -2"'
loop_
_atom_site_label
_atom_site_fract_x
_atom_site_fract_y
_atom_site_fract_z
_atom_site_occupancy
Ba1 0.0000 0.0000 0.0000 1
Mg1 0.0000 0.0000 0.8155 1
Cu1 0.0000 0.0000 0.2019 1
Cu2 0.0000 0.0000 0.5324 1
```

Its density is 4.7 g cm⁻³. The calculation puts the formation enthalpy at 0 K at -0.02 eV per atom.

Entry 7:
Compound: Zr2AlGeRu
Source: the Alexandria database
Functional: PBE
Structure: optimized geometry

```
data_Zr2AlGeRu
_chemical_formula_sum 'Zr2 Al1 Ge1 Ru1'
_cell_length_a 4.9754
_cell_length_b 4.9754
_cell_length_c 4.6444
_cell_angle_alpha 90.00
_cell_angle_beta 90.00
_cell_angle_gamma 90.00
_space_group_name_H-M_alt 'P 4/m m m'
_space_group_IT_number 123
_space_group_name_Hall '-P 4 2'
loop_
_atom_site_label
_atom_site_fract_x
_atom_site_fract_y
_atom_site_fract_z
_atom_site_occupancy
Zr1 0.0000 0.5000 0.0000 1
Al1 0.0000 0.0000 0.5000 1
Ge1 0.5000 0.5000 0.5000 1
Ru1 0.0000 0.0000 0.0000 1
```

Its density is 5.5 g cm⁻³. The calculation puts the formation enthalpy at 0 K at 0.13 eV per atom.

Entry 8:
Compound: HfZr4Cd5
Source: the Alexandria database
Functional: PBE
Structure: optimized geometry

```
data_HfZr4Cd5
_chemical_formula_sum 'Hf1 Zr4 Cd5'
_cell_length_a 3.1436
_cell_length_b 3.1436
_cell_length_c 21.8381
_cell_angle_alpha 90.00
_cell_angle_beta 90.00
_cell_angle_gamma 90.00
_space_group_name_H-M_alt 'P 4/m m m'
_space_group_IT_number 123
_space_group_name_Hall '-P 4 2'
loop_
_atom_site_label
_atom_site_fract_x
_atom_site_fract_y
_atom_site_fract_z
_atom_site_occupancy
Hf1 0.0000 0.0000 0.0000 1
Zr1 0.0000 0.0000 0.1989 1
Zr2 0.0000 0.0000 0.3997 1
Cd1 0.5000 0.5000 0.0985 1
Cd2 0.5000 0.5000 0.2993 1
Cd3 0.5000 0.5000 0.5000 1
```

Its density is 8.5 g cm⁻³. The calculation puts the formation enthalpy at 0 K at -0.07 eV per atom.

Entry 9:
Compound: Zr2MnCl
Source: the Alexandria database
Functional: PBE
Structure: optimized geometry

```
data_Zr2MnCl
_chemical_formula_sum 'Zr8 Mn4 Cl4'
_cell_length_a 5.5785
_cell_length_b 5.5785
_cell_length_c 12.3456
_cell_angle_alpha 90.00
_cell_angle_beta 90.00
_cell_angle_gamma 90.00
_space_group_name_H-M_alt 'I -4 2 d'
_space_group_IT_number 122
_space_group_name_Hall 'I -4 2bw'
loop_
_atom_site_label
_atom_site_fract_x
_atom_site_fract_y
_atom_site_fract_z
_atom_site_occupancy
Zr1 0.1960 0.2500 0.1250 1
Mn1 0.0000 0.0000 0.0000 1
Cl1 0.0000 0.0000 0.5000 1
```

The relative energy among the computed polymorphs is 325.4 kJ/mol of formula units. Its density is 4.7 g cm⁻³. The value obtained for the energy relative to the elements, uncorrected is 0.334 eV per atom.

Entry 10:
Compound: CoNiSb2
Source: the Alexandria database
Functional: PBE
Structure: optimized geometry

```
data_CoNiSb2
_chemical_formula_sum 'Co4 Ni4 Sb8'
_cell_length_a 6.4468
_cell_length_b 6.4468
_cell_length_c 6.4468
_cell_angle_alpha 90.00
_cell_angle_beta 90.00
_cell_angle_gamma 90.00
_space_group_name_H-M_alt 'F m -3 m'
_space_group_IT_number 225
_space_group_name_Hall '-F 4 2 3'
loop_
_atom_site_label
_atom_site_fract_x
_atom_site_fract_y
_atom_site_fract_z
_atom_site_occupancy
Co1 0.0000 0.0000 0.0000 1
Ni1 0.0000 0.0000 0.5000 1
Sb1 0.2500 0.2500 0.2500 1
```

Its density is 9.0 g cm⁻³. The value obtained for the energy relative to the elements, uncorrected is 0.215 eV per atom.

| no. | density of states at the Fermi level (states/eV per atom) | VASP energy (eV per atom) | magnetization (μB/f.u.) |
| --- | --- | --- | --- |
| 1 | 2.33 | -4.222 | 5.51 |
| 2 | 0.56 | -7.911 | 0.00 |
| 3 | 0.41 | -4.253 | 0.00 |
| 4 | 1.55 | -8.695 | 3.66 |
| 5 | 0.87 | -5.574 | 0.00 |
| 6 | 0.71 | -2.949 | 0.00 |
| 7 | 0.81 | -6.814 | 0.00 |
| 8 | 1.29 | -4.946 | 1.32 |
| 9 | 0.59 | -6.694 | 0.00 |
| 10 | 1.05 | -5.068 | 0.00 |